w:
Below is a relaxed structure of TbTm2Cd2, with properties calculated at the PBE-GGA level.

Geometry as POSCAR:
```
TbTm2Cd2
1.0
-1.938 3.790 2.906
-2.429 -1.441 -4.311
-3.338 -4.233 3.296
Tm Tb Cd
2 1 2
Direct
0.333 0.667 0.651 Tm
0.667 0.333 0.349 Tm
0.000 0.000 0.000 Tb
0.333 0.667 0.160 Cd
0.667 0.333 0.840 Cd
```

Space-group type: P-3m1

x:
Below is a relaxed structure of TbTm2Cd2, with properties calculated at the PBE-GGA level.

Geometry as POSCAR:
```
TbTm2Cd2
1.0
3.654 0.000 -0.490
0.000 5.309 0.000
-0.017 0.000 13.767
Tb Cd Tm
2 4 4
Direct
0.150 0.250 0.298 Tb
0.850 0.750 0.702 Tb
0.358 0.250 0.717 Cd
0.450 0.750 0.900 Cd
0.642 0.750 0.283 Cd
0.550 0.250 0.100 Cd
0.764 0.250 0.527 Tm
0.954 0.250 0.908 Tm
0.046 0.750 0.092 Tm
0.236 0.750 0.473 Tm
```

Space-group type: P2_1/m

Relative to the most stable structure, the computed energies are w 201; x 0, all in meV/atom.